--- one ---
DFT (GGA-PBE) results for crystalline Li3SiAg at its relaxed geometry.

## Properties
Volume in Å³/f.u.: 75.17
M_tot in Bohr magnetons per cell: 0.00

Lattice parameters (Å, degrees): 3.842 6.072 6.453 87.09 90.00 90.00
Sites, in units of the cell vectors:
1 Li 0.624 0.822 0.573
2 Si 0.624 0.185 0.783
3 Li 0.624 0.999 0.152
4 Si 0.124 0.914 0.865
5 Li 0.124 0.520 0.667
6 Li 0.124 0.100 0.495
7 Li 0.124 0.277 0.075
8 Ag 0.124 0.710 0.248
9 Ag 0.624 0.388 0.399
10 Li 0.624 0.578 0.980

***

--- two ---
DFT (GGA-PBE) results for crystalline Li3SiAg at its relaxed geometry.

## Properties
Volume in Å³/f.u.: 83.66
M_tot in Bohr magnetons per cell: 0.00

Lattice parameters (Å, degrees): 5.919 7.753 7.292 90.00 90.00 90.00
Sites, in units of the cell vectors:
1 Li 0.680 0.323 0.750
2 Si 0.789 0.987 0.750
3 Li 0.107 0.829 0.932
4 Li 0.820 0.823 0.250
5 Li 0.893 0.171 0.432
6 Li 0.107 0.829 0.568
7 Ag 0.500 0.000 0.000
8 Li 0.607 0.671 0.932
9 Ag 0.000 0.500 0.500
10 Si 0.289 0.513 0.750
11 Li 0.893 0.171 0.068
12 Li 0.320 0.677 0.250
13 Li 0.393 0.329 0.068
14 Li 0.393 0.329 0.432
15 Li 0.180 0.177 0.750
16 Ag 0.500 0.000 0.500
17 Si 0.211 0.013 0.250
18 Si 0.711 0.487 0.250
19 Li 0.607 0.671 0.568
20 Ag 0.000 0.500 0.000

***

Bottom line: one, by a margin of 12 meV per atom.

***

--- one ---
DFT (GGA-PBE) results for crystalline Li6SiAg2 at its relaxed geometry.

## Properties
Volume in Å³/f.u.: 138.88
M_tot in Bohr magnetons per cell: 0.00

Lattice parameters (Å, degrees): 7.614 7.614 2.766 90.00 90.00 120.00
Sites, in units of the cell vectors:
1 Li 0.677 0.677 0.500
2 Si 0.000 0.000 0.000
3 Li 0.323 0.323 0.500
4 Li 0.000 0.677 0.500
5 Li 0.323 0.000 0.500
6 Li 0.000 0.323 0.500
7 Ag 0.667 0.333 0.000
8 Li 0.677 0.000 0.500
9 Ag 0.333 0.667 0.000

***

--- two ---
DFT (GGA-PBE) results for crystalline Li6SiAg2 at its relaxed geometry.

## Properties
Volume in Å³/f.u.: 183.79
M_tot in Bohr magnetons per cell: 0.00

Lattice parameters (Å, degrees): 4.378 6.234 7.732 113.77 106.31 90.00
Sites, in units of the cell vectors:
1 Li 0.500 0.774 0.000
2 Li 0.500 0.226 0.000
3 Ag 0.338 0.334 0.667
4 Ag 0.662 0.666 0.333
5 Li 0.846 0.611 0.685
6 Li 0.846 0.074 0.685
7 Li 0.154 0.389 0.315
8 Si 0.000 0.000 0.000
9 Li 0.154 0.926 0.315

***

Bottom line: one, by a margin of 185 meV per atom.

***

--- one ---
DFT (GGA-PBE) results for crystalline LiSm2Ag6 at its relaxed geometry.

## Properties
Volume in Å³/f.u.: 197.49
M_tot in Bohr magnetons per cell: 0.00

Lattice parameters (Å, degrees): 3.246 8.382 8.382 60.00 89.92 89.92
Sites, in units of the cell vectors:
1 Ag 0.500 0.671 0.329
2 Li 0.000 0.000 0.000
3 Ag 0.499 0.000 0.671
4 Sm 0.000 0.333 0.333
5 Ag 0.500 0.329 0.671
6 Ag 0.499 0.671 0.000
7 Ag 0.501 0.329 0.000
8 Ag 0.501 0.000 0.329
9 Sm 0.000 0.667 0.667

***

--- two ---
DFT (GGA-PBE) results for crystalline LiSm2Ag6 at its relaxed geometry.

## Properties
Volume in Å³/f.u.: 190.87
M_tot in Bohr magnetons per cell: 0.00

Lattice parameters (Å, degrees): 5.633 6.255 6.255 60.02 90.02 90.02
Sites, in units of the cell vectors:
1 Li 0.000 0.000 0.000
2 Sm 0.829 0.667 0.667
3 Ag 0.688 0.644 0.178
4 Ag 0.312 0.822 0.356
5 Ag 0.688 0.178 0.178
6 Sm 0.171 0.333 0.333
7 Ag 0.312 0.356 0.822
8 Ag 0.688 0.178 0.644
9 Ag 0.312 0.822 0.822

***

Bottom line: two, by a margin of 24 meV per atom.

***

--- one ---
DFT (GGA-PBE) results for crystalline Li6SmAg6 at its relaxed geometry.

## Properties
Volume in Å³/f.u.: 229.99
M_tot in Bohr magnetons per cell: 0.00

Lattice parameters (Å, degrees): 5.291 7.104 7.104 81.98 68.13 68.13
Sites, in units of the cell vectors:
1 Li 0.500 0.231 0.769
2 Ag 0.652 0.348 0.348
3 Li 0.000 0.000 0.500
4 Li 0.500 0.769 0.231
5 Ag 0.000 0.654 0.346
6 Li 0.000 0.500 0.000
7 Sm 0.000 0.000 0.000
8 Ag 0.000 0.346 0.654
9 Ag 0.706 0.794 0.794
10 Li 0.500 0.000 0.500
11 Ag 0.294 0.206 0.206
12 Ag 0.348 0.652 0.652
13 Li 0.500 0.500 0.000

***

--- two ---
DFT (GGA-PBE) results for crystalline Li6SmAg6 at its relaxed geometry.

## Properties
Volume in Å³/f.u.: 242.72
M_tot in Bohr magnetons per cell: 0.00

Lattice parameters (Å, degrees): 5.575 7.176 7.176 76.67 67.14 67.14
Sites, in units of the cell vectors:
1 Li 0.288 0.212 0.212
2 Li 0.000 0.346 0.654
3 Li 0.712 0.788 0.788
4 Sm 0.000 0.000 0.000
5 Ag 0.500 0.000 0.500
6 Ag 0.500 0.798 0.202
7 Ag 0.000 0.500 0.000
8 Li 0.000 0.654 0.346
9 Li 0.642 0.358 0.358
10 Ag 0.000 0.000 0.500
11 Li 0.358 0.642 0.642
12 Ag 0.500 0.500 0.000
13 Ag 0.500 0.202 0.798

***

Bottom line: two, by a margin of 6 meV per atom.

***

--- one ---
DFT (GGA-PBE) results for crystalline Li2Sm3Ag4 at its relaxed geometry.

## Properties
Volume in Å³/f.u.: 205.37
M_tot in Bohr magnetons per cell: 0.00

Lattice parameters (Å, degrees): 4.767 5.883 8.483 74.28 73.68 66.10
Sites, in units of the cell vectors:
1 Sm 0.000 0.000 0.000
2 Li 0.348 0.985 0.319
3 Ag 0.720 0.625 0.935
4 Sm 0.649 0.385 0.317
5 Li 0.652 0.015 0.681
6 Ag 0.077 0.245 0.601
7 Ag 0.923 0.755 0.399
8 Ag 0.280 0.375 0.065
9 Sm 0.351 0.615 0.683

***

--- two ---
DFT (GGA-PBE) results for crystalline Li2Sm3Ag4 at its relaxed geometry.

## Properties
Volume in Å³/f.u.: 212.26
M_tot in Bohr magnetons per cell: 0.00

Lattice parameters (Å, degrees): 4.473 5.667 9.176 96.14 90.00 113.25
Sites, in units of the cell vectors:
1 Sm 0.000 0.000 0.000
2 Li 0.679 0.357 0.784
3 Ag 0.917 0.834 0.359
4 Ag 0.083 0.166 0.641
5 Li 0.321 0.643 0.216
6 Ag 0.715 0.430 0.084
7 Ag 0.285 0.570 0.916
8 Sm 0.374 0.747 0.615
9 Sm 0.626 0.253 0.385

***

Bottom line: one, by a margin of 14 meV per atom.

***

--- one ---
DFT (GGA-PBE) results for crystalline LiSm2Ag2 at its relaxed geometry.

## Properties
Volume in Å³/f.u.: 128.17
M_tot in Bohr magnetons per cell: 0.00

Lattice parameters (Å, degrees): 6.111 6.317 7.963 113.37 112.57 90.00
Sites, in units of the cell vectors:
1 Ag 0.874 0.183 0.748
2 Sm 0.851 0.675 0.701
3 Sm 0.649 0.973 0.299
4 Ag 0.126 0.817 0.252
5 Li 0.750 0.500 0.000
6 Ag 0.374 0.565 0.748
7 Sm 0.149 0.325 0.299
8 Ag 0.626 0.435 0.252
9 Sm 0.351 0.027 0.701
10 Li 0.250 0.500 0.000

***

--- two ---
DFT (GGA-PBE) results for crystalline LiSm2Ag2 at its relaxed geometry.

## Properties
Volume in Å³/f.u.: 128.68
M_tot in Bohr magnetons per cell: 0.00

Lattice parameters (Å, degrees): 4.031 7.990 7.990 90.00 90.00 90.00
Sites, in units of the cell vectors:
1 Ag 0.000 0.630 0.130
2 Ag 0.000 0.870 0.630
3 Sm 0.500 0.168 0.668
4 Sm 0.500 0.332 0.168
5 Ag 0.000 0.370 0.870
6 Li 0.000 0.500 0.500
7 Li 0.000 0.000 0.000
8 Sm 0.500 0.832 0.332
9 Sm 0.500 0.668 0.832
10 Ag 0.000 0.130 0.370

***

Bottom line: two, by a margin of 117 meV per atom.

***

--- one ---
DFT (GGA-PBE) results for crystalline LiAg2Sn2 at its relaxed geometry.

## Properties
Volume in Å³/f.u.: 109.76
M_tot in Bohr magnetons per cell: 0.00

Lattice parameters (Å, degrees): 4.798 4.807 9.519 90.00 90.51 90.00
Sites, in units of the cell vectors:
1 Li 0.252 0.750 0.831
2 Ag 0.237 0.250 0.670
3 Sn 0.742 0.250 0.832
4 Sn 0.258 0.750 0.168
5 Ag 0.763 0.750 0.330
6 Sn 0.736 0.250 0.496
7 Li 0.748 0.250 0.169
8 Ag 0.243 0.250 0.000
9 Sn 0.264 0.750 0.504
10 Ag 0.757 0.750 0.000

***

--- two ---
DFT (GGA-PBE) results for crystalline LiAg2Sn2 at its relaxed geometry.

## Properties
Volume in Å³/f.u.: 110.36
M_tot in Bohr magnetons per cell: 0.00

Lattice parameters (Å, degrees): 7.349 7.349 4.087 90.00 90.00 90.00
Sites, in units of the cell vectors:
1 Ag 0.863 0.637 0.000
2 Li 0.500 0.500 0.000
3 Li 0.000 0.000 0.000
4 Ag 0.363 0.863 0.000
5 Ag 0.137 0.363 0.000
6 Sn 0.170 0.670 0.500
7 Sn 0.670 0.830 0.500
8 Sn 0.830 0.330 0.500
9 Sn 0.330 0.170 0.500
10 Ag 0.637 0.137 0.000

***

--- three ---
DFT (GGA-PBE) results for crystalline LiAg2Sn2 at its relaxed geometry.

## Properties
Volume in Å³/f.u.: 118.49
M_tot in Bohr magnetons per cell: 0.00

Lattice parameters (Å, degrees): 4.259 4.259 7.193 72.78 72.78 90.00
Sites, in units of the cell vectors:
1 Li 0.000 0.000 0.000
2 Ag 0.250 0.750 0.500
3 Sn 0.608 0.608 0.784
4 Sn 0.392 0.392 0.216
5 Ag 0.750 0.250 0.500

***

--- four ---
DFT (GGA-PBE) results for crystalline LiAg2Sn2 at its relaxed geometry.

## Properties
Volume in Å³/f.u.: 114.94
M_tot in Bohr magnetons per cell: 0.00

Lattice parameters (Å, degrees): 8.381 8.381 3.273 90.00 90.00 90.00
Sites, in units of the cell vectors:
1 Li 0.500 0.500 0.000
2 Sn 0.346 0.846 0.000
3 Sn 0.154 0.346 0.000
4 Ag 0.357 0.143 0.500
5 Ag 0.643 0.857 0.500
6 Sn 0.654 0.154 0.000
7 Ag 0.143 0.643 0.500
8 Sn 0.846 0.654 0.000
9 Ag 0.857 0.357 0.500
10 Li 0.000 0.000 0.000

***

Bottom line: one, by a margin of 87 meV per atom.

***

--- one ---
DFT (GGA-PBE) results for crystalline LiAgSn3 at its relaxed geometry.

## Properties
Volume in Å³/f.u.: 157.97
M_tot in Bohr magnetons per cell: 0.00

Lattice parameters (Å, degrees): 5.406 5.406 5.406 90.00 90.00 90.00
Sites, in units of the cell vectors:
1 Li 0.500 0.500 0.500
2 Sn 0.000 0.500 0.000
3 Ag 0.000 0.000 0.000
4 Sn 0.000 0.000 0.500
5 Sn 0.500 0.000 0.000

***

--- two ---
DFT (GGA-PBE) results for crystalline LiAgSn3 at its relaxed geometry.

## Properties
Volume in Å³/f.u.: 123.29
M_tot in Bohr magnetons per cell: 0.00

Lattice parameters (Å, degrees): 3.326 7.985 9.284 90.00 90.00 89.90
Sites, in units of the cell vectors:
1 Sn 0.005 0.815 0.475
2 Li 0.498 0.968 0.750
3 Sn 0.992 0.627 0.750
4 Li 0.502 0.032 0.250
5 Sn 0.995 0.185 0.975
6 Sn 0.008 0.373 0.250
7 Sn 0.995 0.185 0.525
8 Ag 0.506 0.669 0.250
9 Sn 0.005 0.815 0.025
10 Ag 0.494 0.331 0.750

***

--- three ---
DFT (GGA-PBE) results for crystalline LiAgSn3 at its relaxed geometry.

## Properties
Volume in Å³/f.u.: 124.98
M_tot in Bohr magnetons per cell: 0.00

Lattice parameters (Å, degrees): 5.000 5.000 5.000 90.00 90.00 90.00
Sites, in units of the cell vectors:
1 Sn 0.000 0.500 0.000
2 Li 0.000 0.000 0.000
3 Sn 0.500 0.000 0.000
4 Sn 0.000 0.000 0.500
5 Ag 0.500 0.500 0.500

***

Bottom line: two, by a margin of 377 meV per atom.

***

--- one ---
DFT (GGA-PBE) results for crystalline Li5Ag2Sn at its relaxed geometry.

## Properties
Volume in Å³/f.u.: 135.16
M_tot in Bohr magnetons per cell: 0.00

Lattice parameters (Å, degrees): 4.562 4.562 7.252 108.35 108.33 90.00
Sites, in units of the cell vectors:
1 Ag 0.246 0.245 0.491
2 Li 0.370 0.870 0.740
3 Ag 0.754 0.755 0.509
4 Li 0.130 0.630 0.260
5 Li 0.500 0.500 0.000
6 Sn 0.000 0.000 0.000
7 Li 0.870 0.370 0.740
8 Li 0.630 0.130 0.260

***

--- two ---
DFT (GGA-PBE) results for crystalline Li5Ag2Sn at its relaxed geometry.

## Properties
Volume in Å³/f.u.: 143.12
M_tot in Bohr magnetons per cell: 0.00

Lattice parameters (Å, degrees): 7.150 7.150 7.544 118.29 118.29 90.00
Sites, in units of the cell vectors:
1 Li 0.000 0.000 0.000
2 Ag 0.362 0.862 0.000
3 Li 0.501 0.685 0.686
4 Li 0.685 0.185 0.686
5 Li 0.315 0.815 0.314
6 Ag 0.138 0.362 0.000
7 Sn 0.250 0.250 0.500
8 Li 0.999 0.499 0.314
9 Li 0.185 0.001 0.686
10 Ag 0.862 0.638 0.000
11 Sn 0.750 0.750 0.500
12 Li 0.499 0.315 0.314
13 Li 0.500 0.500 0.000
14 Li 0.001 0.501 0.686
15 Li 0.815 0.999 0.314
16 Ag 0.638 0.138 0.000

***

Bottom line: one, by a margin of 65 meV per atom.